[1]
First-principles (PBE) data for a geometry-optimized K2VAu structure, as listed in Alexandria via LeMat-Bulk.

Values from the calculation:
DFT formation energy	3.10	eV/f.u.
spin magnetization	4.311	μB/f.u.
E above lowest polymorph	4.62	kcal/mol of atoms
electronic total energy	-2.873	eV/atom

Unit cell a=5.703 b=5.703 c=5.703 alpha=60.00 beta=60.00 gamma=60.00
Last column: magnetic moment on the atom in μB.
Atoms (fractional coordinates):
Au: 0.500 0.500 0.500  0.00
V: 0.000 0.000 0.000  3.22
K: 0.750 0.750 0.750  0.03
K: 0.250 0.250 0.250  0.03



[2]
First-principles (PBE) data for a geometry-optimized La4Tb3Pr4 structure, as listed in Alexandria via LeMat-Bulk.

Values from the calculation:
DFT formation energy	1.41	eV/f.u.
spin magnetization	0.000	μB/f.u.
E above lowest polymorph	0.30	kcal/mol of atoms
electronic total energy	-4.664	eV/atom

Unit cell a=5.862 b=6.795 c=10.903 alpha=90.00 beta=90.00 gamma=115.55
Atoms (fractional coordinates):
Tb: 0.409 0.817 0.708
Tb: 0.251 0.503 0.000
Tb: 0.409 0.817 0.292
La: 0.891 0.783 0.500
La: 0.758 0.516 0.802
La: 0.955 0.909 0.000
La: 0.758 0.516 0.198
Pr: 0.106 0.212 0.698
Pr: 0.106 0.212 0.302
Pr: 0.542 0.084 0.000
Pr: 0.614 0.228 0.500



[3]
First-principles (PBE) data for a geometry-optimized BaCrAs structure, as listed in Alexandria via LeMat-Bulk.

Values from the calculation:
DFT formation energy	-0.20	eV/f.u.
spin magnetization	3.074	μB/f.u.
electronic total energy	-5.465	eV/atom

Unit cell a=6.471 b=6.471 c=3.636 alpha=73.69 beta=73.68 gamma=32.63
Last column: magnetic moment on the atom in μB.
Atoms (fractional coordinates):
As: 0.947 0.947 0.053  -0.14
Cr: 0.392 0.392 0.608  3.34
Ba: 0.662 0.662 0.338  -0.12



[4]
First-principles (PBE) data for a geometry-optimized HfGeRu2 structure, as listed in Alexandria via LeMat-Bulk.

Values from the calculation:
DFT formation energy	-2.43	eV/f.u.
spin magnetization	0.000	μB/f.u.
electronic total energy	-8.887	eV/atom

Unit cell a=3.249 b=4.349 c=4.349 alpha=90.00 beta=90.00 gamma=90.00
Atoms (fractional coordinates):
Hf: 0.500 0.500 0.500
Ru: 0.000 0.500 0.000
Ru: 0.000 0.000 0.500
Ge: 0.500 0.000 0.000



[5]
First-principles (PBE) data for a geometry-optimized K2CeGaBr6 structure, as listed in Alexandria via LeMat-Bulk.

Values from the calculation:
spin magnetization	1.000	μB/f.u.
formation energy without anion corrections	-1.550	eV/atom
electronic total energy	-3.669	eV/atom

Unit cell a=7.838 b=8.364 c=11.343 alpha=90.00 beta=88.60 gamma=90.00
Last column: magnetic moment on the atom in μB.
Atoms (fractional coordinates):
Br: 0.322 0.707 0.432  -0.01
Br: 0.801 0.813 0.560  -0.01
Br: 0.628 0.046 0.258  -0.01
Br: 0.678 0.293 0.568  -0.01
Br: 0.178 0.207 0.068  -0.01
Br: 0.872 0.546 0.242  -0.01
Br: 0.199 0.187 0.440  -0.01
Br: 0.372 0.954 0.742  -0.01
Br: 0.822 0.793 0.932  -0.01
Br: 0.699 0.313 0.940  -0.01
Br: 0.128 0.454 0.758  -0.01
Br: 0.301 0.687 0.060  -0.01
K: 0.032 0.918 0.255  0.00
K: 0.532 0.582 0.755  0.00
K: 0.468 0.418 0.245  0.00
K: 0.968 0.082 0.745  0.00
Ga: 0.000 0.500 0.500  0.00
Ga: 0.500 0.000 0.000  0.00
Ce: 0.000 0.500 0.000  0.98
Ce: 0.500 0.000 0.500  0.98



[6]
First-principles (PBE) data for a geometry-optimized Zr2BeNi structure, as listed in Alexandria via LeMat-Bulk.

Values from the calculation:
DFT formation energy	-0.84	eV/f.u.
spin magnetization	0.000	μB/f.u.
electronic total energy	-6.861	eV/atom

Unit cell a=3.226 b=3.226 c=6.245 alpha=90.00 beta=90.00 gamma=90.00
Atoms (fractional coordinates):
Ni: 0.500 0.500 0.750
Be: 0.500 0.500 0.250
Zr: 0.000 0.000 0.004
Zr: 0.000 0.000 0.496